# CrTeBr2

CrTeBr2 after structural relaxation (GGA-PBE, Alexandria via LeMat-Bulk).

```
4
Lattice="-1.636 3.088 6.369 1.636 -3.088 6.369 1.636 3.088 -6.369" Properties=species:S:1:pos:R:3 pbc="T T T"
Cr 0.000 0.000 0.000
Te 0.000 0.000 6.369
Br 1.636 0.000 1.886
Br 0.000 3.088 4.483
```

Magnetic moment, μB per formula unit: 3.021
Density of states at the Fermi level, states/eV per atom: 0.4641
Space group: No. 71
Energy relative to the lowest polymorph listed for this composition, meV/atom: 129
Raw formation energy, kcal/mol of atoms: -4.240